# BeZnMo2O GGA+U relaxed
# **Uncorrected energy**: -3.5783 eV per atom
data_BeZnMo2O
_chemical_formula_sum 'Be1 Zn1 Mo2 O1'
_symmetry_space_group_name_H-M 'P 4/m m m'
_symmetry_Int_Tables_number 123
_symmetry_space_group_name_Hall '-P 4 2'
_cell_length_a 5.4093
_cell_length_b 5.4093
_cell_length_c 3.5504
_cell_angle_alpha 90.00
_cell_angle_beta 90.00
_cell_angle_gamma 90.00
loop_
_atom_site_label
_atom_site_type_symbol
_atom_site_fract_x
_atom_site_fract_y
_atom_site_fract_z
_atom_site_occupancy
Be1 Be 0.0000 0.0000 0.0000 1
Zn1 Zn 0.5000 0.5000 0.5000 1
Mo1 Mo 0.0000 0.5000 0.5000 1
O1 O 0.5000 0.5000 0.0000 1